# CaFeF6

A relaxed CaFeF6 crystal (GGA+U, Alexandria via LeMat-Bulk).

Results
VASP energy: -4.95 eV per atom

abc: 5.193 5.280 5.620
angles: 62.91 62.92 60.64
Sites, in units of the cell vectors:
Ca 0.000 0.000 0.000
Fe 0.500 0.500 0.500
F 0.150 0.711 0.722
F 0.285 0.579 0.278
F 0.415 0.149 0.725
F 0.585 0.851 0.275
F 0.715 0.421 0.722
F 0.850 0.289 0.278